Entry from Alexandria: a relaxed structure of Al2TlSe (GGA-PBE).

Properties
uncorrected formation energy: 167 meV per atom
polymorph energy (0 for the lowest one): 289 meV/atom
raw total energy: -3.1668 eV/atom
spin magnetization: 0.000 Bohr magnetons per cell
space group: P4/mmm (123)

Cell lengths 4.9759, 4.9759, 3.5742 Å; angles 90.00, 90.00, 90.00 degrees
Last column: nearest neighbours and their distance in Å.
Positions (direct):
Al (0.0000, 0.5000, 0.0000)  4 Tl 3.06, 4 Se 3.06
Al (0.5000, 0.0000, 0.0000)  4 Tl 3.06, 4 Se 3.06
Tl (0.0000, 0.0000, 0.5000)  8 Al 3.06
Se (0.5000, 0.5000, 0.5000)  8 Al 3.06